# Fe2AsHF | Alexandria via LeMat-Bulk | PBE with a Hubbard U | relaxed
# Size of the total moment   7.190 μB per formula unit
# E_tot   -20.6 eV for the cell shown
# V   69 Å³ per cell
data_Fe2AsHF
_cell_length_a 4.409
_cell_length_b 4.409
_cell_length_c 3.553
_cell_angle_alpha 90.00
_cell_angle_beta 90.00
_cell_angle_gamma 90.00
_symmetry_space_group_name_H-M 'P 4/m m m'
_symmetry_Int_Tables_number 123
_symmetry_space_group_name_Hall '-P 4 2'
loop_
_atom_site_label
_atom_site_fract_x
_atom_site_fract_y
_atom_site_fract_z
_atom_site_occupancy
Fe1 0.000 0.500 0.000 1
As1 0.000 0.000 0.500 1
H1 0.500 0.500 0.500 1
F1 0.500 0.500 0.000 1